First-principles (GGA-PBE) data for an optimized crystal structure of MgTc2Pb, as listed in Alexandria.

## Properties
DFT total energy, eV per atom: -5.93
ΔE_f, kJ per mole of atoms: 56.10
Relative energy among the computed polymorphs, kJ/mol of atoms: 44.3

abc: 3.4539 4.4980 4.5043
angles: 90.00 90.00 90.00
Space group Pmmm (No. 47)
Symmetry-distinct sites (fractional):
Mg 0.0000 0.0000 0.0000 x1
Tc 0.0000 0.5000 0.5000 x1
Tc 0.5000 0.5000 0.0000 x1
Pb 0.5000 0.0000 0.5000 x1

=====

First-principles (GGA-PBE) data for an optimized crystal structure of Rb2CuPdO4, as listed in Alexandria.

## Properties
DFT total energy, eV per atom: -4.70
Energy relative to the elements, uncorrected, kJ/mol of formula units: -630

abc: 5.7645 13.7360 19.7483
angles: 90.00 90.00 90.00
Space group Fddd (No. 70, origin choice 2)
Symmetry-distinct sites (fractional):
Rb 0.1250 0.1250 0.2959 x16
Cu 0.1250 0.1250 0.6250 x8
Pd 0.1250 0.1250 0.1250 x8
O 0.1066 0.2831 0.8735 x32

=====

First-principles (GGA-PBE) data for an optimized crystal structure of Sr2IO2, as listed in Alexandria.

## Properties
DFT total energy, eV per atom: -5.05
Energy relative to the elements, uncorrected, kJ/mol of formula units: -1007

abc: 7.1217 4.3140 8.0945
angles: 90.00 95.81 90.00
Space group C2/m (No. 12)
Symmetry-distinct sites (fractional):
Sr 0.1888 0.0000 0.3145 x4
I 0.0000 0.5000 0.0000 x2
O 0.1397 0.0000 0.6136 x4

=====

Q: Which of these has the lowest DFT total energy?
A: MgTc2Pb

=====

Q: The highest DFT total energy belongs to which entry?
A: Rb2CuPdO4

=====

Q: Which value of DFT total energy does entry 1 give?
A: -5.93 eV per atom